# CsSb2TeO

Crystalline CsSb2TeO at its relaxed geometry (PBE, Alexandria).

abc: 4.9841 4.9841 5.5116
angles: 90.00 90.00 90.00
With the nearest neighbours (Å) after each atom.
Sites, in units of the cell vectors:
Cs: 0.5000 0.5000 0.5000  4 Te 3.52, 8 Sb 3.72
Sb: 0.0000 0.5000 0.0000  2 O 2.49
Sb: 0.5000 0.0000 0.0000  2 O 2.49
Te: 0.0000 0.0000 0.5000  2 O 2.76
O: 0.0000 0.0000 0.0000  4 Sb 2.49, 2 Te 2.76

Output
The value obtained for the total moment is 0.0 μB per cell. As for the density of states at the Fermi level: 4.53 states/eV/cell. The space group is No. 123. The calculation puts the formation energy from raw total energies at -3 kJ per mole of atoms.



# CsSbTe2O8

Crystalline CsSbTe2O8 at its relaxed geometry (PBE, Alexandria).

abc: 5.7306 5.7306 9.4126
angles: 90.00 90.00 120.00
With the nearest neighbours (Å) after each atom.
Sites, in units of the cell vectors:
Cs: 0.0000 0.0000 0.0000  12 O 3.43-3.78
Sb: 0.0000 0.0000 0.5000  6 O 2.22
Te: 0.6667 0.3333 0.2888  4 O 1.83-1.87
Te: 0.3333 0.6667 0.7112  4 O 1.83-1.87
O: 0.3333 0.6667 0.9052  1 Te 1.83
O: 0.3326 0.2708 0.3557  1 Te 1.87
O: 0.7292 0.0618 0.3557  1 Te 1.87
O: 0.6667 0.3333 0.0948  1 Te 1.83
O: 0.2708 0.9382 0.6443  1 Te 1.87
O: 0.6674 0.7292 0.6443  1 Te 1.87
O: 0.0618 0.3326 0.6443  1 Te 1.87
O: 0.9382 0.6674 0.3557  1 Te 1.87

Output
The value obtained for the total moment is 0.0 μB per cell. The space group is No. 147. The calculation puts the formation energy from raw total energies at -101 kJ per mole of atoms.



# CsSbTeO6

Crystalline CsSbTeO6 at its relaxed geometry (PBE, Alexandria).

abc: 5.3353 5.3353 6.8859
angles: 90.00 90.00 60.00
With the nearest neighbours (Å) after each atom.
Sites, in units of the cell vectors:
Cs: 0.0000 0.0000 0.0000  6 O 3.11
Sb: 0.6666 0.6667 0.5000  6 O 2.03
Te: 0.3333 0.3333 0.5000  6 O 1.97
O: 0.0081 0.3840 0.3362  1 Te 1.97, 1 Sb 2.03
O: 0.3840 0.0081 0.6638  1 Te 1.97, 1 Sb 2.03
O: 0.6079 0.3840 0.6638  1 Te 1.97, 1 Sb 2.03
O: 0.0081 0.6079 0.6638  1 Te 1.97, 1 Sb 2.03
O: 0.3840 0.6079 0.3362  1 Te 1.97, 1 Sb 2.03
O: 0.6079 0.0081 0.3362  1 Te 1.97, 1 Sb 2.03

Output
The value obtained for the total moment is 0.0 μB per cell. As for the density of states at the Fermi level: 0.00 states/eV/cell. The space group is No. 149. The calculation puts the formation energy from raw total energies at -133 kJ per mole of atoms.